ZrZn: optimized geometry, PBE-GGA.

Crystal system: trigonal
DFT formation energy: -0.01 eV per atom

a = 3.165 Å, b = 3.165 Å, c = 9.234 Å
α = 90.00°, β = 90.00°, γ = 120.00°
Fractional positions:
Zr 0.333 0.667 0.363
Zr 0.667 0.333 0.637
Zn 0.333 0.667 0.891
Zn 0.667 0.333 0.109

GdDyHo4: optimized geometry, PBE-GGA.

Crystal system: cubic
DFT formation energy: 0.25 eV per atom

a = 6.551 Å, b = 6.551 Å, c = 6.551 Å
α = 60.00°, β = 60.00°, γ = 60.00°
Fractional positions:
Gd 0.000 0.000 0.000
Dy 0.250 0.250 0.250
Ho 0.126 0.625 0.625
Ho 0.625 0.126 0.625
Ho 0.625 0.625 0.126
Ho 0.625 0.625 0.625

Tb6CeDy2Y3: optimized geometry, PBE-GGA.

Crystal system: monoclinic
DFT formation energy: 0.04 eV per atom

a = 6.167 Å, b = 6.167 Å, c = 11.808 Å
α = 94.99°, β = 94.99°, γ = 119.99°
Fractional positions:
Tb 0.083 0.414 0.749
Tb 0.249 0.249 0.251
Tb 0.414 0.083 0.749
Tb 0.586 0.917 0.251
Tb 0.751 0.751 0.749
Tb 0.917 0.586 0.251
Ce 0.000 0.000 0.500
Dy 0.333 0.667 0.500
Dy 0.667 0.333 0.500
Y 0.167 0.833 0.000
Y 0.500 0.500 0.000
Y 0.833 0.167 0.000

Pm2BeO: optimized geometry, PBE-GGA.

Formation energy from raw total energies: -1.145 eV per atom
Crystal system: trigonal

a = 3.720 Å, b = 3.720 Å, c = 19.889 Å
α = 90.00°, β = 90.00°, γ = 120.00°
Fractional positions:
Pm 0.000 0.000 0.237
Pm 0.000 0.000 0.763
Pm 0.333 0.667 0.430
Pm 0.333 0.667 0.904
Pm 0.667 0.333 0.096
Pm 0.667 0.333 0.570
Be 0.000 0.000 0.000
Be 0.333 0.667 0.667
Be 0.667 0.333 0.333
O 0.000 0.000 0.500
O 0.333 0.667 0.167
O 0.667 0.333 0.833

HfHg2F8: optimized geometry, PBE-GGA.

Formation energy from raw total energies: -2.443 eV per atom
Crystal system: monoclinic
ΔE to the lowest computed polymorph: 0.000 eV per atom

a = 6.128 Å, b = 6.128 Å, c = 8.370 Å
α = 105.01°, β = 105.01°, γ = 36.03°
Fractional positions:
Hf 0.000 0.000 0.000
Hg 0.235 0.235 0.685
Hg 0.765 0.765 0.315
F 0.082 0.082 0.818
F 0.183 0.183 0.136
F 0.335 0.335 0.469
F 0.448 0.448 0.865
F 0.552 0.552 0.135
F 0.665 0.665 0.531
F 0.817 0.817 0.864
F 0.918 0.918 0.182

CaCd2GaO: optimized geometry, PBE-GGA.

Formation energy from raw total energies: -0.207 eV per atom
Crystal system: tetragonal

a = 6.193 Å, b = 6.193 Å, c = 4.154 Å
α = 90.00°, β = 90.00°, γ = 90.00°
Fractional positions:
Ca 0.000 0.000 0.000
Cd 0.000 0.500 0.000
Cd 0.500 0.000 0.000
Ga 0.500 0.500 0.500
O 0.000 0.000 0.500

Number 5 is which compound?
HfHg2F8

What did the sixth record say?
CaCd2GaO: optimized geometry, PBE-GGA.

Formation energy from raw total energies: -0.207 eV per atom
Crystal system: tetragonal

a = 6.193 Å, b = 6.193 Å, c = 4.154 Å
α = 90.00°, β = 90.00°, γ = 90.00°
Fractional positions:
Ca 0.000 0.000 0.000
Cd 0.000 0.500 0.000
Cd 0.500 0.000 0.000
Ga 0.500 0.500 0.500
O 0.000 0.000 0.500